# 1
## Be2CrPb (PBE-GGA)

Data for Be2CrPb after structural relaxation.

Geometry as CIF:
```
data_Be2CrPb
_chemical_formula_sum 'Be2 Cr1 Pb1'
_cell_length_a 3.062
_cell_length_b 3.062
_cell_length_c 6.209
_cell_angle_alpha 90.00
_cell_angle_beta 90.00
_cell_angle_gamma 90.00
_space_group_name_H-M_alt 'P 1'
_space_group_IT_number 1
loop_
_space_group_symop_operation_xyz
'x,y,z'
loop_
_atom_site_label
_atom_site_fract_x
_atom_site_fract_y
_atom_site_fract_z
_atom_site_occupancy
Pb1 0.500 0.500 0.756 1
Cr1 0.000 0.000 0.434 1
Be1 0.000 0.000 0.076 1
Be2 0.500 0.500 0.234 1
```

## Properties
As for the density: 7.91 g/cm3. The density of states at the Fermi level is 0.3611 states/eV per atom. For the energy relative to the elements, the calculation gives 0.626 eV per atom. As for the space-group type: P4mm.

---

# 2
## Be2CrPb (PBE-GGA)

Data for Be2CrPb after structural relaxation.

Geometry as CIF:
```
data_Be2CrPb
_chemical_formula_sum 'Be2 Cr1 Pb1'
_cell_length_a 8.563
_cell_length_b 8.563
_cell_length_c 8.563
_cell_angle_alpha 20.36
_cell_angle_beta 20.36
_cell_angle_gamma 20.36
_space_group_name_H-M_alt 'P 1'
_space_group_IT_number 1
loop_
_space_group_symop_operation_xyz
'x,y,z'
loop_
_atom_site_label
_atom_site_fract_x
_atom_site_fract_y
_atom_site_fract_z
_atom_site_occupancy
Pb1 0.750 0.750 0.750 1
Cr1 0.250 0.250 0.250 1
Be1 0.984 0.984 0.984 1
Be2 0.516 0.516 0.516 1
```

## Properties
As for the density: 6.92 g/cm3. The density of states at the Fermi level is 0.5569 states/eV per atom. For the energy relative to the elements, the calculation gives 0.873 eV per atom. As for the space-group type: R-3m.

---

# 3
## BeCr2Pb (PBE-GGA)

Data for BeCr2Pb after structural relaxation.

Geometry as CIF:
```
data_BeCr2Pb
_chemical_formula_sum 'Be1 Cr2 Pb1'
_cell_length_a 4.380
_cell_length_b 4.380
_cell_length_c 5.220
_cell_angle_alpha 81.10
_cell_angle_beta 81.10
_cell_angle_gamma 40.74
_space_group_name_H-M_alt 'P 1'
_space_group_IT_number 1
loop_
_space_group_symop_operation_xyz
'x,y,z'
loop_
_atom_site_label
_atom_site_fract_x
_atom_site_fract_y
_atom_site_fract_z
_atom_site_occupancy
Pb1 0.500 0.500 0.485 1
Cr1 0.003 0.003 0.000 1
Cr2 0.732 0.732 0.836 1
Be1 0.266 0.266 0.179 1
```

## Properties
As for the density: 8.25 g/cm3. The density of states at the Fermi level is 0.6251 states/eV per atom. For the energy relative to the elements, the calculation gives 0.610 eV per atom. As for the space-group type: Cm.